Here is LaDy2Mg3CdIn2 after structural relaxation from OQMD via LeMat-Bulk. Energies are from PBE-GGA.

As for the final energy: -3.17 eV/atom. The calculation puts the magnetization at 0.00 μB per atom.

Cell: 4.712 7.671 7.671 Å, 121.20 90.00 90.00°
Sites, in units of the cell vectors:
Mg 0.500 0.761 0.001
Mg 0.500 0.240 0.240
Mg 0.500 0.001 0.761
In 0.500 0.326 0.668
In 0.500 0.668 0.326
Cd 0.000 0.011 0.011
Dy 0.000 0.422 0.997
Dy 0.000 0.997 0.422
La 0.000 0.574 0.574